1.
The following is a PBE-GGA calculation of SrHgN3 after structural relaxation, from Alexandria via LeMat-Bulk.

Values from the calculation:
Energy relative to the elements, uncorrected (eV per atom): 2.022
Magnetic moment (μB per formula unit): 7.00

a b c (Å): 5.0072 5.0072 5.0072
angles (deg): 90.00 90.00 90.00
Closest atoms and distances in Å follow each position.
Atoms (fractional coordinates):
Hg 0.5000 0.5000 0.5000  12 N 3.54
N 0.0000 0.5000 0.0000  2 Sr 2.50
N 0.0000 0.0000 0.5000  2 Sr 2.50
N 0.5000 0.0000 0.0000  2 Sr 2.50
Sr 0.0000 0.0000 0.0000  6 N 2.50

2.
The following is a PBE-GGA calculation of Sr2HgN after structural relaxation, from Alexandria via LeMat-Bulk.

Values from the calculation:
Energy relative to the elements, uncorrected (eV per atom): -0.284
Energy above the most stable polymorph in this dataset (kJ/mol of atoms): 23.5
Magnetic moment (μB per formula unit): 0.00

a b c (Å): 3.3996 3.3996 8.0096
angles (deg): 90.00 90.00 90.00
Closest atoms and distances in Å follow each position.
Atoms (fractional coordinates):
Sr 0.0000 0.0000 0.1778  4 N 2.79, 1 Sr 2.85
Sr 0.0000 0.0000 0.8222  4 N 2.79, 1 Sr 2.85
Hg 0.5000 0.5000 0.5000  4 Hg 3.40, 8 Sr 3.53
N 0.5000 0.5000 0.0000  8 Sr 2.79

3.
The following is a PBE-GGA calculation of SrHgTe2N after structural relaxation, from Alexandria via LeMat-Bulk.

Values from the calculation:
Energy relative to the elements, uncorrected (eV per atom): 0.278
Energy above the most stable polymorph in this dataset (kJ/mol of atoms): 0.0
Magnetic moment (μB per formula unit): 1.93

a b c (Å): 5.8785 5.8785 4.2904
angles (deg): 90.00 90.00 90.00
Closest atoms and distances in Å follow each position.
Atoms (fractional coordinates):
Te 0.0000 0.5000 0.0000  2 Hg 2.94
Te 0.5000 0.0000 0.0000  2 Hg 2.94
Hg 0.0000 0.0000 0.0000  2 N 2.15
N 0.0000 0.0000 0.5000  2 Hg 2.15
Sr 0.5000 0.5000 0.5000  8 Te 3.64

4.
The following is a PBE-GGA calculation of SrHgTe2N after structural relaxation, from Alexandria via LeMat-Bulk.

Values from the calculation:
Energy relative to the elements, uncorrected (eV per atom): 0.719
Energy above the most stable polymorph in this dataset (kJ/mol of atoms): 42.5
Magnetic moment (μB per formula unit): 4.53

a b c (Å): 6.4697 6.4697 4.9192
angles (deg): 90.00 90.00 90.00
Closest atoms and distances in Å follow each position.
Atoms (fractional coordinates):
Sr 0.0000 0.0000 0.0000  2 N 2.46
Hg 0.5000 0.5000 0.5000  8 Te 4.06
N 0.0000 0.0000 0.5000  2 Sr 2.46
Te 0.5000 0.0000 0.0000  2 Sr 3.23
Te 0.0000 0.5000 0.0000  2 Sr 3.23

5.
The following is a PBE-GGA calculation of Sr6Tl2HgN after structural relaxation, from Alexandria via LeMat-Bulk.

Values from the calculation:
Energy relative to the elements, uncorrected (eV per atom): -0.407
Magnetic moment (μB per formula unit): 0.00

a b c (Å): 7.4682 8.5662 11.2437
angles (deg): 90.00 88.01 90.00
Closest atoms and distances in Å follow each position.
Atoms (fractional coordinates):
Sr 0.7029 0.3456 0.9494  1 N 2.66
Sr 0.6138 0.0347 0.2786  1 N 2.62
Sr 0.1138 0.4653 0.7786  1 N 2.62
Sr 0.2971 0.6544 0.0506  1 N 2.66
Sr 0.3568 0.7220 0.4454  1 N 2.69
Sr 0.3862 0.9653 0.7214  1 N 2.62
Sr 0.8568 0.7780 0.9454  1 N 2.69
Sr 0.2029 0.1544 0.4494  1 N 2.66
Sr 0.1432 0.2220 0.0546  1 N 2.69
Sr 0.7971 0.8456 0.5506  1 N 2.66
Sr 0.8862 0.5347 0.2214  1 N 2.62
Sr 0.6432 0.2780 0.5546  1 N 2.69
Hg 0.5000 0.0000 0.0000  6 Sr 3.29-3.37
Hg 0.0000 0.5000 0.5000  6 Sr 3.29-3.37
Tl 0.9525 0.0952 0.7580  6 Sr 3.40-3.66
Tl 0.0475 0.9048 0.2420  6 Sr 3.40-3.66
Tl 0.4525 0.4048 0.2580  6 Sr 3.40-3.66
Tl 0.5475 0.5952 0.7420  6 Sr 3.40-3.66
N 0.0000 0.5000 0.0000  6 Sr 2.62-2.69
N 0.5000 0.0000 0.5000  6 Sr 2.62-2.69

6.
The following is a PBE-GGA calculation of SrTlHg2N after structural relaxation, from Alexandria via LeMat-Bulk.

Values from the calculation:
Energy relative to the elements, uncorrected (eV per atom): 0.160
Magnetic moment (μB per formula unit): 0.00

a b c (Å): 4.9963 5.0137 4.9963
angles (deg): 90.00 90.00 90.00
Closest atoms and distances in Å follow each position.
Atoms (fractional coordinates):
N 0.0000 0.0000 0.0000  4 Hg 2.50, 2 Sr 2.51
Sr 0.0000 0.5000 0.0000  2 N 2.51
Hg 0.5000 0.0000 0.0000  2 N 2.50
Hg 0.0000 0.0000 0.5000  2 N 2.50
Tl 0.5000 0.5000 0.5000  4 Sr 3.53, 8 Hg 3.54

7.
The following is a PBE-GGA calculation of SrY2HgN after structural relaxation, from Alexandria via LeMat-Bulk.

Values from the calculation:
Energy relative to the elements, uncorrected (eV per atom): -0.723
Magnetic moment (μB per formula unit): 0.01

a b c (Å): 4.8069 4.8069 5.2878
angles (deg): 90.00 90.00 90.00
Closest atoms and distances in Å follow each position.
Atoms (fractional coordinates):
Y 0.5000 0.0000 0.0000  2 N 2.40
Y 0.0000 0.5000 0.0000  2 N 2.40
N 0.0000 0.0000 0.0000  4 Y 2.40, 2 Sr 2.64
Sr 0.0000 0.0000 0.5000  2 N 2.64
Hg 0.5000 0.5000 0.5000  4 Sr 3.40, 8 Y 3.57

8.
The following is a PBE-GGA calculation of Sr2ZnHgN after structural relaxation, from Alexandria via LeMat-Bulk.

Values from the calculation:
Energy relative to the elements, uncorrected (eV per atom): -0.363
Energy above the most stable polymorph in this dataset (kJ/mol of atoms): 9.6
Magnetic moment (μB per formula unit): 0.01

a b c (Å): 5.4606 5.4606 4.0278
angles (deg): 90.00 90.00 90.00
Closest atoms and distances in Å follow each position.
Atoms (fractional coordinates):
Sr 0.5000 0.0000 0.0000  2 N 2.73
Sr 0.0000 0.5000 0.0000  2 N 2.73
N 0.0000 0.0000 0.0000  2 Zn 2.01
Zn 0.0000 0.0000 0.5000  2 N 2.01
Hg 0.5000 0.5000 0.5000  8 Sr 3.39

9.
The following is a PBE-GGA calculation of Sr2ZnHgN after structural relaxation, from Alexandria via LeMat-Bulk.

Values from the calculation:
Energy relative to the elements, uncorrected (eV per atom): -0.463
Energy above the most stable polymorph in this dataset (kJ/mol of atoms): 0.0
Magnetic moment (μB per formula unit): 0.00

a b c (Å): 3.8096 8.4011 8.7004
angles (deg): 118.53 90.00 90.00
Closest atoms and distances in Å follow each position.
Atoms (fractional coordinates):
Sr 0.7500 0.8065 0.9870  3 N 2.62
Sr 0.7500 0.8580 0.6082  2 N 2.57
Sr 0.2500 0.1935 0.0130  3 N 2.62
Sr 0.2500 0.1420 0.3918  2 N 2.57
N 0.2500 0.8439 0.7998  1 Zn 2.03
N 0.7500 0.1561 0.2002  1 Zn 2.03
Hg 0.7500 0.3419 0.7596  2 Zn 3.25, 6 Sr 3.40-3.63
Hg 0.2500 0.6581 0.2404  2 Zn 3.25, 6 Sr 3.40-3.63
Zn 0.7500 0.4267 0.3644  1 N 2.03
Zn 0.2500 0.5733 0.6356  1 N 2.03

10.
The following is a PBE-GGA calculation of TaHgN2 after structural relaxation, from Alexandria via LeMat-Bulk.

Values from the calculation:
Energy relative to the elements, uncorrected (eV per atom): -0.220
Energy above the most stable polymorph in this dataset (kJ/mol of atoms): 11.9
Magnetic moment (μB per formula unit): 0.00

a b c (Å): 5.5452 5.5452 6.0594
angles (deg): 62.77 62.77 90.00
Closest atoms and distances in Å follow each position.
Atoms (fractional coordinates):
N 0.2410 0.6250 0.2500  2 Ta 1.95
N 0.5090 0.1250 0.2500  2 Ta 1.95
N 0.3750 0.4910 0.7500  2 Ta 1.95
N 0.8750 0.7590 0.7500  2 Ta 1.95
Ta 0.2500 0.7500 0.5000  4 N 1.95
Ta 0.5000 0.5000 0.0000  4 N 1.95
Hg 0.0000 0.0000 0.0000  4 N 2.72
Hg 0.7500 0.2500 0.5000  4 N 2.72

Q: Among the records above, which one has the highest magnetic moment?
A: SrHgN3

Q: Among the records above, which one has the highest energy relative to the elements, uncorrected?
A: SrHgN3

Q: Which formula does entry 3 have?
A: SrHgTe2N

Q: Which value of energy relative to the elements, uncorrected does entry 1 give?
A: 2.022 eV per atom